(1)
First-principles (GGA-PBE) data for a relaxed LiTa3C4 crystal, as listed in Alexandria via LeMat-Bulk.

```
8
Lattice="3.184 -4.421 0.000 3.184 4.421 0.000 0.000 0.000 3.153" Properties=species:S:1:pos:R:3 pbc="T T T"
Li 0.000 0.000 0.000
Ta 1.592 2.211 1.577
Ta 1.592 -2.211 1.577
Ta 3.184 0.000 0.000
C 3.184 2.202 0.000
C 1.677 0.000 1.577
C 4.691 0.000 1.577
C 3.184 -2.202 0.000
```

Output
Calculated formation energy   -0.230 eV/atom
Symmetry   No. 65
Fermi-level density of states   2.9 states/eV/f.u.
E   -9.526 eV per atom


(2)
First-principles (GGA-PBE) data for a relaxed LiTa3C crystal, as listed in Alexandria via LeMat-Bulk.

```
5
Lattice="4.290 0.000 0.000 0.000 4.290 0.000 0.000 0.000 4.290" Properties=species:S:1:pos:R:3 pbc="T T T"
Li 0.000 0.000 0.000
Ta 0.000 2.145 2.145
Ta 2.145 0.000 2.145
Ta 2.145 2.145 0.000
C 2.145 2.145 2.145
```

Output
Calculated formation energy   0.087 eV/atom
Symmetry   No. 221
Fermi-level density of states   1.1 states/eV/f.u.
Relative energy among the computed polymorphs   0.0 kJ/mol of atoms
E   -9.252 eV per atom


(3)
First-principles (GGA-PBE) data for a relaxed Li2TaTcC crystal, as listed in Alexandria via LeMat-Bulk.

```
5
Lattice="3.899 0.000 0.000 0.000 3.899 0.000 0.000 0.000 4.299" Properties=species:S:1:pos:R:3 pbc="T T T"
Li 0.000 1.949 0.000
Li 1.949 0.000 0.000
Ta 0.000 0.000 2.150
Tc 1.949 1.949 2.150
C 0.000 0.000 0.000
```

Output
Calculated formation energy   0.547 eV/atom
Symmetry   No. 123
Fermi-level density of states   4.7 states/eV/f.u.
E   -6.507 eV per atom